[1]
CaTl2GeTe: relaxed, PBE.

```
CaTl2GeTe
1.0
5.949 0.000 0.000
0.000 5.949 0.000
0.000 0.000 5.673
Ca Tl Ge Te
1 2 1 1
Direct
0.000 0.000 0.000
0.000 0.500 0.000
0.500 0.000 0.000
0.500 0.500 0.500
0.000 0.000 0.500
```

Summary:
formation energy from raw total energies: 2.3 eV/f.u.
space-group type: P4/mmm

=====

[2]
Ca6AgAu5: relaxed, PBE.

```
Ca6AgAu5
1.0
2.571 -7.697 0.000
2.571 7.697 0.000
0.000 0.000 7.364
Ca Ag Au
6 1 5
Direct
0.000 0.000 0.244
0.000 0.000 0.756
0.331 0.669 0.248
0.331 0.669 0.752
0.669 0.331 0.248
0.669 0.331 0.752
0.500 0.500 0.500
0.161 0.839 0.500
0.167 0.833 0.000
0.500 0.500 0.000
0.833 0.167 0.000
0.839 0.161 0.500
```

Summary:
DFT formation energy: -8.5 eV per formula unit
space-group type: Cmmm

=====

[3]
Li2AcAsPd2: relaxed, PBE.

```
Li2AcAsPd2
1.0
4.527 0.000 0.000
0.000 4.527 0.000
0.000 0.000 6.114
Li Ac As Pd
2 1 1 2
Direct
0.000 0.500 0.000
0.500 0.000 0.000
0.000 0.000 0.500
0.000 0.000 0.000
0.500 0.500 0.279
0.500 0.500 0.721
```

Summary:
DFT formation energy: -2.9 eV per formula unit
space-group type: P4/mmm

=====

[4]
Hf4TcSn2: relaxed, PBE.

```
Hf4TcSn2
1.0
-2.427 2.427 7.539
2.427 -2.427 7.539
2.427 2.427 -7.539
Hf Tc Sn
4 1 2
Direct
0.000 0.500 0.500
0.170 0.170 0.000
0.500 0.000 0.500
0.830 0.830 0.000
0.000 0.000 0.000
0.362 0.362 0.000
0.638 0.638 0.000
```

Summary:
DFT formation energy: 1.8 eV per formula unit
space-group type: I4/mmm

=====

[5]
Ho12Tl5Hg2: relaxed, PBE.

```
Ho12Tl5Hg2
1.0
8.543 -3.651 0.000
8.543 3.651 0.000
-1.120 0.000 9.011
Ho Tl Hg
12 5 2
Direct
0.007 0.007 0.191
0.095 0.607 0.995
0.100 0.580 0.586
0.393 0.905 0.005
0.420 0.900 0.414
0.458 0.458 0.309
0.542 0.542 0.691
0.580 0.100 0.586
0.607 0.095 0.995
0.900 0.420 0.414
0.905 0.393 0.005
0.993 0.993 0.809
0.198 0.198 0.732
0.271 0.271 0.248
0.500 0.500 0.000
0.729 0.729 0.752
0.802 0.802 0.268
0.187 0.813 0.500
0.813 0.187 0.500
```

Summary:
DFT formation energy: -2.6 eV per formula unit
space-group type: C2/m

=====

[6]
RbAgCl3: relaxed, PBE.

```
RbAgCl3
1.0
3.866 0.000 0.000
0.000 4.076 7.546
0.000 -4.076 7.546
Rb Ag Cl
1 1 3
Direct
0.000 0.000 0.000
0.500 0.666 0.666
0.000 0.443 0.844
0.000 0.844 0.443
0.500 0.844 0.844
```

Summary:
formation energy from raw total energies: -4.1 eV/f.u.
space-group type: Amm2

=====

[7]
LaCr3Mo: relaxed, PBE.

```
LaCr3Mo
1.0
4.422 0.000 0.000
0.000 4.422 0.000
0.000 0.000 4.422
La Cr Mo
1 3 1
Direct
0.000 0.000 0.000
0.000 0.000 0.500
0.000 0.500 0.000
0.500 0.000 0.000
0.500 0.500 0.500
```

Summary:
DFT formation energy: 10.8 eV per formula unit
energy above the most stable polymorph in this dataset: 1.311 eV per atom
space-group type: Pm-3m

=====

[8]
Ho2CO: relaxed, PBE.

```
Ho2CO
1.0
3.486 -6.977 0.000
3.486 6.977 0.000
-3.475 0.000 4.967
Ho C O
8 4 4
Direct
0.063 0.437 0.758
0.184 0.308 0.242
0.308 0.184 0.742
0.437 0.063 0.258
0.563 0.937 0.742
0.692 0.816 0.258
0.816 0.692 0.758
0.937 0.563 0.242
0.062 0.938 0.250
0.313 0.687 0.250
0.687 0.313 0.750
0.938 0.062 0.750
0.188 0.812 0.750
0.437 0.563 0.750
0.563 0.437 0.250
0.812 0.188 0.250
```

Summary:
formation energy from raw total energies: -7.0 eV/f.u.
energy above the most stable polymorph in this dataset: 0.000 eV per atom
space-group type: C2/c